Compound: MnTc2Pt
Source: Alexandria
Functional: PBEsol
Structure: optimized geometry

Cell: 6.0853 6.0853 6.0853 Å, 90.00 90.00 90.00°
Positions (direct):
Mn: 0.0000 0.0000 0.0000
Mn: 0.0000 0.5000 0.5000
Mn: 0.5000 0.0000 0.5000
Mn: 0.5000 0.5000 0.0000
Tc: 0.0000 0.0000 0.5000
Tc: 0.0000 0.5000 0.0000
Tc: 0.2500 0.2500 0.7500
Tc: 0.2500 0.7500 0.2500
Tc: 0.5000 0.0000 0.0000
Tc: 0.5000 0.5000 0.5000
Tc: 0.7500 0.2500 0.2500
Tc: 0.7500 0.7500 0.7500
Pt: 0.2500 0.2500 0.2500
Pt: 0.2500 0.7500 0.7500
Pt: 0.7500 0.2500 0.7500
Pt: 0.7500 0.7500 0.2500

**Total magnetic moment**: 10.559 μB per cell
**Space-group type**: F-43m (216)
**Fermi-level density of states**: 1.013 states/eV per atom
**Energy of formation**: 0.20 eV/atom